VASP calculation (GGA+U) on crystalline RuW3O at its relaxed geometry.

Properties
Electronic total energy, eV/atom: -6.550
Density, g cm⁻³: 15.37
Symmetry: Pm-3m

Structure (CIF):
```
data_RuW3O
_cell_length_a 4.1649
_cell_length_b 4.1649
_cell_length_c 4.1649
_cell_angle_alpha 90.00
_cell_angle_beta 90.00
_cell_angle_gamma 90.00
_space_group_name_H-M_alt 'P 1'
_space_group_IT_number 1
loop_
_space_group_symop_operation_xyz
'x,y,z'
loop_
_atom_site_label
_atom_site_fract_x
_atom_site_fract_y
_atom_site_fract_z
O1 0.0000 0.0000 0.0000
W1 0.5000 0.0000 0.0000
W2 0.0000 0.5000 0.0000
W3 0.0000 0.0000 0.5000
Ru1 0.5000 0.5000 0.5000
```